Record 1
Compound: Rb2Mg
Source: Alexandria via LeMat-Bulk
Functional: PBE
Structure: relaxed

Unit cell a=4.358 b=9.512 c=9.855 alpha=90.00 beta=90.00 gamma=90.00
Element x y z (fractional)
1 Rb 0.000 0.802 0.663
2 Rb 0.000 0.198 0.337
3 Rb 0.500 0.698 0.163
4 Rb 0.500 0.302 0.837
5 Mg 0.500 0.500 0.500
6 Mg 0.000 0.000 0.000

Properties
The value obtained for the calculated total energy is -5.45 eV/cell. The theoretical density is 1.59 g/cm³. Its distance to the lowest polymorph of the same formula is 109 meV per atom. As for the symmetry: No. 58.



Record 2
Compound: YTmU
Source: Alexandria via LeMat-Bulk
Functional: PBE
Structure: relaxed

Unit cell a=3.622 b=5.638 c=8.707 alpha=97.95 beta=102.01 gamma=90.00
Site moments in Bohr magnetons follow the coordinates.
Element x y z (fractional)
1 U 0.760 0.158 0.519  1.36
2 Y 0.432 0.211 0.864  0.01
3 Y 0.568 0.789 0.136  0.01
4 Tm 0.114 0.307 0.228  0.07
5 U 0.240 0.842 0.481  1.36
6 Tm 0.886 0.693 0.772  0.07

Properties
The value obtained for the calculated total energy is -43.15 eV/cell. The theoretical density is 9.56 g/cm³. As for the symmetry: No. 12.



Number 1: E_form 0.2685 eV per atom. Number 2: E_form 0.2166 eV per atom.